# 1
Density functional theory data (GGA-PBE) for CeTe2Pd after structural relaxation.

It has space group R-3m (No. 166, hexagonal axes), with a = 4.5955 Å, b = 4.5955 Å, c = 25.1349 Å, α = 90.00°, β = 90.00° and γ = 120.00°. The inequivalent atoms are Ce at (0.0000, 0.0000, 0.0000), Te at (0.0000, 0.0000, 0.3984) and Pd at (0.0000, 0.0000, 0.5000).

For the size of the total moment, the calculation gives 0.11 μB per formula unit. Its uncorrected energy is -4.9440 eV/atom. The energy above the most stable polymorph in this dataset comes out at 377.2 meV/atom.


# 2
Density functional theory data (GGA-PBE) for Ce6Te5Pd after structural relaxation.

It has space group C2/m (No. 12), with a = 7.743 Å, b = 13.325 Å, c = 7.666 Å, α = 90.00°, β = 109.70° and γ = 90.00°. The inequivalent atoms are Ce at (0.234, 0.000, 0.249), Ce at (0.235, 0.158, 0.735), Te at (0.000, 0.177, 0.000), Te at (0.000, 0.336, 0.500), Te at (0.000, 0.500, 0.000) and Pd at (0.000, 0.000, 0.500).

For the size of the total moment, the calculation gives 6.89 μB per formula unit. Its uncorrected energy is -5.9131 eV/atom.


# 3
Density functional theory data (GGA-PBE) for CeTe4Pd4 after structural relaxation.

It has space group Ccce (No. 68, origin choice 2), with a = 8.071 Å, b = 14.618 Å, c = 8.163 Å, α = 90.00°, β = 90.00° and γ = 90.00°. The inequivalent atoms are Ce at (0.000, 0.250, 0.250), Te at (0.164, 0.110, 0.595) and Pd at (0.144, 0.194, 0.893).

For the size of the total moment, the calculation gives 0.79 μB per formula unit. Its uncorrected energy is -4.9299 eV/atom.


# 4
Density functional theory data (GGA-PBE) for Ce2TePd after structural relaxation.

It has space group R-3m (No. 166, hexagonal axes), with a = 4.2149 Å, b = 4.2149 Å, c = 22.6834 Å, α = 90.00°, β = 90.00° and γ = 120.00°. The inequivalent atoms are Ce at (0.0000, 0.0000, 0.2400), Te at (0.0000, 0.0000, 0.0000) and Pd at (0.0000, 0.0000, 0.5000).

For the size of the total moment, the calculation gives 2.07 μB per formula unit. Its uncorrected energy is -5.9626 eV/atom. The energy above the most stable polymorph in this dataset comes out at 0.0 meV/atom.


Number 1: D(E_F) 4.57 states/eV/f.u.. Number 2: D(E_F) 42.78 states/eV/f.u.. Number 3: D(E_F) 12.16 states/eV/f.u.. Number 4: D(E_F) 13.67 states/eV/f.u..